Entry 1:
A geometry-optimized Li2MoSe structure, computed with GGA-PBE.

```
data_Li2MoSe
_chemical_formula_sum 'Li2 Mo1 Se1'
_space_group_name_H-M_alt 'P 4 m m'
_space_group_IT_number 99
_cell_length_a 3.283
_cell_length_b 3.283
_cell_length_c 5.719
_cell_angle_alpha 90.00
_cell_angle_beta 90.00
_cell_angle_gamma 90.00
loop_
_space_group_symop_operation_xyz
'x,y,z'
'-y,x,z'
'-x,-y,z'
'y,-x,z'
'-x,y,z'
'y,x,z'
'x,-y,z'
'-y,-x,z'
loop_
_atom_site_label
_atom_site_fract_x
_atom_site_fract_y
_atom_site_fract_z
Li1 0.000 0.000 0.000
Li2 0.500 0.500 0.238
Mo1 0.000 0.000 0.511
Se1 0.500 0.500 0.714
```

Calculated values
uncorrected energy: -18.71 eV for the cell shown
formation energy from raw total energies: -0.6 eV per formula unit

=====

Entry 2:
A geometry-optimized AlAsPd2 structure, computed with GGA-PBE.

```
data_AlAsPd2
_chemical_formula_sum 'Al4 As4 Pd8'
_space_group_name_H-M_alt 'I -4 2 d'
_space_group_IT_number 122
_space_group_name_Hall 'I -4 2bw'
_cell_length_a 4.037
_cell_length_b 4.037
_cell_length_c 16.803
_cell_angle_alpha 90.00
_cell_angle_beta 90.00
_cell_angle_gamma 90.00
loop_
_atom_site_label
_atom_site_fract_x
_atom_site_fract_y
_atom_site_fract_z
Al1 0.000 0.000 0.000
As1 0.000 0.000 0.500
Pd1 0.244 0.250 0.625
```

Calculated values
uncorrected energy: -81.10 eV for the cell shown
energy of formation: -374.6 meV/atom
energy relative to the lowest polymorph listed for this composition: 3.906 kcal/mol of atoms

=====

Entry 3:
A geometry-optimized Y2Hf2Tl structure, computed with GGA-PBE.

```
data_Y2Hf2Tl
_chemical_formula_sum 'Y4 Hf4 Tl2'
_space_group_name_H-M_alt 'I 4/m m m'
_space_group_IT_number 139
_space_group_name_Hall '-I 4 2'
_cell_length_a 4.085
_cell_length_b 4.085
_cell_length_c 17.197
_cell_angle_alpha 90.00
_cell_angle_beta 90.00
_cell_angle_gamma 90.00
loop_
_atom_site_label
_atom_site_fract_x
_atom_site_fract_y
_atom_site_fract_z
Y1 0.000 0.000 0.099
Hf1 0.000 0.500 0.250
Tl1 0.000 0.000 0.500
```

Calculated values
uncorrected energy: -67.16 eV for the cell shown
energy of formation: 323.8 meV/atom
energy relative to the lowest polymorph listed for this composition: 4.619 kcal/mol of atoms

=====

Entry 4:
A geometry-optimized CoBr2Cl structure, computed with GGA-PBE.

```
data_CoBr2Cl
_chemical_formula_sum 'Co1 Br2 Cl1'
_space_group_name_H-M_alt 'P 4/m m m'
_space_group_IT_number 123
_space_group_name_Hall '-P 4 2'
_cell_length_a 3.882
_cell_length_b 3.882
_cell_length_c 7.178
_cell_angle_alpha 90.00
_cell_angle_beta 90.00
_cell_angle_gamma 90.00
loop_
_atom_site_label
_atom_site_fract_x
_atom_site_fract_y
_atom_site_fract_z
Co1 0.000 0.000 0.000
Br1 0.000 0.500 0.500
Cl1 0.500 0.500 0.000
```

Calculated values
uncorrected energy: -10.37 eV for the cell shown
formation energy from raw total energies: 1.9 eV per formula unit
energy relative to the lowest polymorph listed for this composition: 18.644 kcal/mol of atoms

=====

Entry 5:
A geometry-optimized BaLiUS4 structure, computed with GGA-PBE.

```
data_BaLiUS4
_chemical_formula_sum 'Ba2 Li2 U2 S8'
_space_group_name_H-M_alt 'P 1 21/m 1'
_space_group_IT_number 11
_cell_length_a 6.457
_cell_length_b 6.420
_cell_length_c 8.618
_cell_angle_alpha 90.00
_cell_angle_beta 110.01
_cell_angle_gamma 90.00
loop_
_space_group_symop_operation_xyz
'x,y,z'
'-x,-y,-z'
'-x,y+1/2,-z'
'x,-y+1/2,z'
loop_
_atom_site_label
_atom_site_fract_x
_atom_site_fract_y
_atom_site_fract_z
Ba1 0.243 0.250 0.443
Li1 0.269 0.750 0.176
U1 0.275 0.250 0.945
S1 0.020 0.750 0.917
S2 0.060 0.750 0.346
S3 0.470 0.512 0.796
```

Calculated values
uncorrected energy: -83.60 eV for the cell shown
formation energy from raw total energies: -10.2 eV per formula unit

=====

Entry 6:
A geometry-optimized K2Hg3Bi2 structure, computed with GGA-PBE.

```
data_K2Hg3Bi2
_chemical_formula_sum 'K4 Hg6 Bi4'
_space_group_name_H-M_alt 'C 1 2/m 1'
_space_group_IT_number 12
_cell_length_a 12.548
_cell_length_b 5.783
_cell_length_c 6.903
_cell_angle_alpha 90.00
_cell_angle_beta 96.24
_cell_angle_gamma 90.00
loop_
_space_group_symop_operation_xyz
'x,y,z'
'-x,-y,-z'
'-x,y,-z'
'x,-y,z'
'x+1/2,y+1/2,z'
'-x+1/2,-y+1/2,-z'
'-x+1/2,y+1/2,-z'
'x+1/2,-y+1/2,z'
loop_
_atom_site_label
_atom_site_fract_x
_atom_site_fract_y
_atom_site_fract_z
K1 0.103 0.000 0.292
Hg1 0.000 0.500 0.000
Hg2 0.239 0.000 0.798
Bi1 0.102 0.500 0.651
```

Calculated values
uncorrected energy: -24.94 eV for the cell shown
energy of formation: -230.0 meV/atom

=====

Entry 7:
A geometry-optimized KCrCo structure, computed with GGA-PBE.

```
data_KCrCo
_chemical_formula_sum 'K1 Cr1 Co1'
_space_group_name_H-M_alt 'P 3 m 1'
_space_group_IT_number 156
_cell_length_a 5.0978
_cell_length_b 5.0978
_cell_length_c 2.7836
_cell_angle_alpha 90.00
_cell_angle_beta 90.00
_cell_angle_gamma 120.00
loop_
_space_group_symop_operation_xyz
'x,y,z'
'-y,x-y,z'
'-x+y,-x,z'
'-y,-x,z'
'-x+y,y,z'
'x,x-y,z'
loop_
_atom_site_label
_atom_site_fract_x
_atom_site_fract_y
_atom_site_fract_z
K1 0.0000 0.0000 0.0000
Cr1 0.3333 0.6667 0.6372
Co1 0.6667 0.3333 0.3667
```

Calculated values
uncorrected energy: -13.45 eV for the cell shown
energy of formation: 1460.4 meV/atom
energy relative to the lowest polymorph listed for this composition: 13.741 kcal/mol of atoms

=====

Entry 8:
A geometry-optimized Li4Cd3Ga structure, computed with GGA-PBE.

```
data_Li4Cd3Ga
_chemical_formula_sum 'Li8 Cd6 Ga2'
_space_group_name_H-M_alt 'C 1 2/m 1'
_space_group_IT_number 12
_cell_length_a 6.559
_cell_length_b 6.549
_cell_length_c 7.290
_cell_angle_alpha 90.00
_cell_angle_beta 116.50
_cell_angle_gamma 90.00
loop_
_space_group_symop_operation_xyz
'x,y,z'
'-x,-y,-z'
'-x,y,-z'
'x,-y,z'
'x+1/2,y+1/2,z'
'-x+1/2,-y+1/2,-z'
'-x+1/2,y+1/2,-z'
'x+1/2,-y+1/2,z'
loop_
_atom_site_label
_atom_site_fract_x
_atom_site_fract_y
_atom_site_fract_z
Li1 0.130 0.249 0.260
Cd1 0.000 0.500 0.500
Cd2 0.247 0.000 0.993
Ga1 0.000 0.000 0.500
```

Calculated values
uncorrected energy: -30.90 eV for the cell shown
energy of formation: -252.7 meV/atom

=====

Entry 9:
A geometry-optimized PmDySiNi structure, computed with GGA-PBE.

```
data_PmDySiNi
_chemical_formula_sum 'Pm2 Dy2 Si2 Ni2'
_space_group_name_H-M_alt 'A m m 2'
_space_group_IT_number 38
_cell_length_a 4.067
_cell_length_b 4.089
_cell_length_c 10.638
_cell_angle_alpha 90.00
_cell_angle_beta 90.00
_cell_angle_gamma 90.00
loop_
_space_group_symop_operation_xyz
'x,y,z'
'-x,-y,z'
'-x,y,z'
'x,-y,z'
'x,y+1/2,z+1/2'
'-x,-y+1/2,z+1/2'
'-x,y+1/2,z+1/2'
'x,-y+1/2,z+1/2'
loop_
_atom_site_label
_atom_site_fract_x
_atom_site_fract_y
_atom_site_fract_z
Pm1 0.000 0.000 0.000
Dy1 0.500 0.000 0.281
Si1 0.500 0.000 0.581
Ni1 0.000 0.000 0.711
```

Calculated values
uncorrected energy: -45.86 eV for the cell shown
formation energy from raw total energies: -2.4 eV per formula unit
energy relative to the lowest polymorph listed for this composition: 0.000 kcal/mol of atoms

=====

Entry 10:
A geometry-optimized SeI2O structure, computed with GGA-PBE.

```
data_SeI2O
_chemical_formula_sum 'Se4 I8 O4'
_space_group_name_H-M_alt 'I -4 2 d'
_space_group_IT_number 122
_space_group_name_Hall 'I -4 2bw'
_cell_length_a 5.692
_cell_length_b 5.692
_cell_length_c 14.536
_cell_angle_alpha 90.00
_cell_angle_beta 90.00
_cell_angle_gamma 90.00
loop_
_atom_site_label
_atom_site_fract_x
_atom_site_fract_y
_atom_site_fract_z
Se1 0.000 0.000 0.000
I1 0.123 0.250 0.625
O1 0.000 0.000 0.500
```

Calculated values
uncorrected energy: -34.89 eV for the cell shown
formation energy from raw total energies: 2.8 eV per formula unit
energy relative to the lowest polymorph listed for this composition: 0.000 kcal/mol of atoms

=====

Entry 11:
A geometry-optimized BaTcBr3 structure, computed with GGA-PBE.

```
data_BaTcBr3
_chemical_formula_sum 'Ba1 Tc1 Br3'
_space_group_name_H-M_alt 'P m -3 m'
_space_group_IT_number 221
_space_group_name_Hall '-P 4 2 3'
_cell_length_a 5.237
_cell_length_b 5.237
_cell_length_c 5.237
_cell_angle_alpha 90.00
_cell_angle_beta 90.00
_cell_angle_gamma 90.00
loop_
_atom_site_label
_atom_site_fract_x
_atom_site_fract_y
_atom_site_fract_z
Ba1 0.000 0.000 0.000
Tc1 0.500 0.500 0.500
Br1 0.000 0.500 0.500
```

Calculated values
uncorrected energy: -20.59 eV for the cell shown
formation energy from raw total energies: -3.3 eV per formula unit
energy relative to the lowest polymorph listed for this composition: 0.000 kcal/mol of atoms

=====

Entry 12:
A geometry-optimized TaReCl2 structure, computed with GGA-PBE.

```
data_TaReCl2
_chemical_formula_sum 'Ta2 Re2 Cl4'
_space_group_name_H-M_alt 'P 1 c 1'
_space_group_IT_number 7
_cell_length_a 9.035
_cell_length_b 3.401
_cell_length_c 5.960
_cell_angle_alpha 90.00
_cell_angle_beta 92.51
_cell_angle_gamma 90.00
loop_
_space_group_symop_operation_xyz
'x,y,z'
'x,-y,z+1/2'
loop_
_atom_site_label
_atom_site_fract_x
_atom_site_fract_y
_atom_site_fract_z
Ta1 0.000 0.016 0.000
Re1 0.176 0.488 0.685
Cl1 0.384 0.418 0.462
Cl2 0.782 0.101 0.222
```

Calculated values
uncorrected energy: -59.93 eV for the cell shown
formation energy from raw total energies: -2.0 eV per formula unit
energy relative to the lowest polymorph listed for this composition: 0.174 kcal/mol of atoms